a | Compound: Pm3Si2Ir3
Source: Alexandria via LeMat-Bulk
Functional: PBE
Structure: relaxed

Cell: 5.622 5.622 15.134 Å, 90.00 90.00 136.49°
Atoms (fractional coordinates):
Pm1 0.070 0.930 0.609
Pm2 0.070 0.930 0.891
Pm3 0.362 0.638 0.750
Pm4 0.638 0.362 0.250
Pm5 0.930 0.070 0.109
Pm6 0.930 0.070 0.391
Si1 0.220 0.780 0.102
Si2 0.220 0.780 0.398
Si3 0.780 0.220 0.602
Si4 0.780 0.220 0.898
Ir1 0.329 0.671 0.250
Ir2 0.347 0.653 0.537
Ir3 0.347 0.653 0.963
Ir4 0.653 0.347 0.037
Ir5 0.653 0.347 0.463
Ir6 0.671 0.329 0.750



b | Compound: Pm3Si2Ir3
Source: Alexandria via LeMat-Bulk
Functional: PBE
Structure: relaxed

Cell: 7.726 14.918 5.690 Å, 90.00 90.00 90.00°
Atoms (fractional coordinates):
Pm1 0.026 0.109 0.134
Pm2 0.026 0.391 0.134
Pm3 0.171 0.250 0.599
Pm4 0.329 0.750 0.099
Pm5 0.474 0.609 0.634
Pm6 0.474 0.891 0.634
Pm7 0.526 0.109 0.366
Pm8 0.526 0.391 0.366
Pm9 0.671 0.250 0.901
Pm10 0.829 0.750 0.401
Pm11 0.974 0.609 0.866
Pm12 0.974 0.891 0.866
Si1 0.126 0.600 0.374
Si2 0.126 0.900 0.374
Si3 0.374 0.100 0.874
Si4 0.374 0.400 0.874
Si5 0.626 0.600 0.126
Si6 0.626 0.900 0.126
Si7 0.874 0.100 0.626
Si8 0.874 0.400 0.626
Ir1 0.165 0.039 0.604
Ir2 0.165 0.461 0.604
Ir3 0.179 0.750 0.576
Ir4 0.321 0.250 0.076
Ir5 0.335 0.539 0.104
Ir6 0.335 0.961 0.104
Ir7 0.665 0.039 0.896
Ir8 0.665 0.461 0.896
Ir9 0.679 0.750 0.924
Ir10 0.821 0.250 0.424
Ir11 0.835 0.539 0.396
Ir12 0.835 0.961 0.396



The structure with the most favorable energy is b; the runner-up is 5.8 kJ/mol of atoms above it.



a | Compound: Pm3Si3Ir
Source: Alexandria via LeMat-Bulk
Functional: PBE
Structure: relaxed

Cell: 5.795 5.795 13.299 Å, 90.00 90.00 138.17°
Atoms (fractional coordinates):
Pm1 0.017 0.983 0.750
Pm2 0.280 0.720 0.102
Pm3 0.280 0.720 0.398
Pm4 0.720 0.280 0.602
Pm5 0.720 0.280 0.898
Pm6 0.983 0.017 0.250
Si1 0.311 0.689 0.750
Si2 0.435 0.565 0.592
Si3 0.435 0.565 0.908
Si4 0.565 0.435 0.092
Si5 0.565 0.435 0.408
Si6 0.689 0.311 0.250
Ir1 0.000 0.000 0.000
Ir2 0.000 0.000 0.500



b | Compound: Pm3Si3Ir
Source: Alexandria via LeMat-Bulk
Functional: PBE
Structure: relaxed

Cell: 8.526 8.526 5.834 Å, 90.00 90.00 120.00°
Atoms (fractional coordinates):
Pm1 0.092 0.696 0.250
Pm2 0.304 0.396 0.250
Pm3 0.396 0.092 0.750
Pm4 0.604 0.908 0.250
Pm5 0.696 0.604 0.750
Pm6 0.908 0.304 0.750
Si1 0.090 0.717 0.750
Si2 0.283 0.373 0.750
Si3 0.373 0.090 0.250
Si4 0.627 0.910 0.750
Si5 0.717 0.627 0.250
Si6 0.910 0.283 0.250
Ir1 0.333 0.667 0.750
Ir2 0.667 0.333 0.250



The structure with the most favorable energy is a; the runner-up is 39.3 kJ/mol of atoms above it.



a | Compound: PmTmSiIr
Source: Alexandria via LeMat-Bulk
Functional: PBE
Structure: relaxed

Cell: 4.961 4.961 4.961 Å, 60.00 60.00 60.00°
Atoms (fractional coordinates):
Pm1 0.000 0.000 0.000
Tm1 0.500 0.500 0.500
Si1 0.250 0.250 0.250
Ir1 0.750 0.750 0.750



b | Compound: PmTmSiIr
Source: Alexandria via LeMat-Bulk
Functional: PBE
Structure: relaxed

Cell: 3.855 5.900 5.900 Å, 42.21 90.00 90.00°
Atoms (fractional coordinates):
Pm1 0.000 0.000 0.000
Tm1 0.500 0.281 0.281
Si1 0.500 0.588 0.588
Ir1 0.000 0.727 0.727



The structure with the most favorable energy is b; the runner-up is 26.5 kJ/mol of atoms above it.



a | Compound: Pm3SmIr
Source: Alexandria via LeMat-Bulk
Functional: PBE
Structure: relaxed

Cell: 7.475 7.475 8.346 Å, 123.87 123.87 72.05°
Atoms (fractional coordinates):
Pm1 0.053 0.053 0.345
Pm2 0.054 0.448 0.208
Pm3 0.448 0.054 0.208
Pm4 0.552 0.946 0.792
Pm5 0.946 0.552 0.792
Pm6 0.947 0.947 0.655
Sm1 0.447 0.447 0.742
Sm2 0.553 0.553 0.258
Ir1 0.251 0.251 0.874
Ir2 0.749 0.749 0.126



b | Compound: Pm3SmIr
Source: Alexandria via LeMat-Bulk
Functional: PBE
Structure: relaxed

Cell: 5.586 5.586 5.586 Å, 90.00 90.00 90.00°
Atoms (fractional coordinates):
Pm1 0.000 0.000 0.500
Pm2 0.000 0.500 0.000
Pm3 0.500 0.000 0.000
Sm1 0.500 0.500 0.500
Ir1 0.000 0.000 0.000



c | Compound: Pm3SmIr
Source: Alexandria via LeMat-Bulk
Functional: PBE
Structure: relaxed

Cell: 10.275 4.812 12.558 Å, 90.00 90.00 90.00°
Atoms (fractional coordinates):
Pm1 0.086 0.250 0.225
Pm2 0.110 0.750 0.556
Pm3 0.182 0.250 0.809
Pm4 0.318 0.750 0.309
Pm5 0.390 0.250 0.056
Pm6 0.414 0.750 0.725
Pm7 0.586 0.250 0.275
Pm8 0.610 0.750 0.944
Pm9 0.682 0.250 0.691
Pm10 0.818 0.750 0.191
Pm11 0.890 0.250 0.444
Pm12 0.914 0.750 0.775
Sm1 0.116 0.750 0.024
Sm2 0.384 0.250 0.524
Sm3 0.616 0.750 0.476
Sm4 0.884 0.250 0.976
Ir1 0.017 0.750 0.343
Ir2 0.483 0.250 0.843
Ir3 0.517 0.750 0.157
Ir4 0.983 0.250 0.657



The structure with the most favorable energy is a; the runner-up is 5.4 kJ/mol of atoms above it.



a | Compound: Pm2SmIr2
Source: Alexandria via LeMat-Bulk
Functional: PBE
Structure: relaxed

Cell: 4.937 4.940 10.511 Å, 90.00 90.00 90.00°
Atoms (fractional coordinates):
Pm1 0.250 0.250 0.001
Pm2 0.250 0.250 0.666
Pm3 0.750 0.750 0.334
Pm4 0.750 0.750 0.999
Sm1 0.250 0.250 0.336
Sm2 0.750 0.750 0.664
Ir1 0.250 0.750 0.490
Ir2 0.250 0.750 0.840
Ir3 0.750 0.250 0.160
Ir4 0.750 0.250 0.510



b | Compound: Pm2SmIr2
Source: Alexandria via LeMat-Bulk
Functional: PBE
Structure: relaxed

Cell: 8.881 8.881 7.466 Å, 90.00 90.00 153.55°
Atoms (fractional coordinates):
Pm1 0.032 0.968 0.500
Pm2 0.190 0.810 0.223
Pm3 0.810 0.190 0.723
Pm4 0.968 0.032 0.000
Sm1 0.380 0.620 0.334
Sm2 0.620 0.380 0.834
Ir1 0.193 0.807 0.630
Ir2 0.448 0.552 0.699
Ir3 0.552 0.448 0.199
Ir4 0.807 0.193 0.130



The structure with the most favorable energy is a; the runner-up is 9.6 kJ/mol of atoms above it.



a | Compound: PmSm2Ir
Source: Alexandria via LeMat-Bulk
Functional: PBE
Structure: relaxed

Cell: 6.405 6.405 9.601 Å, 90.00 90.00 144.29°
Atoms (fractional coordinates):
Pm1 0.078 0.922 0.750
Pm2 0.922 0.078 0.250
Sm1 0.359 0.641 0.567
Sm2 0.359 0.641 0.933
Sm3 0.641 0.359 0.067
Sm4 0.641 0.359 0.433
Ir1 0.243 0.757 0.250
Ir2 0.757 0.243 0.750



b | Compound: PmSm2Ir
Source: Alexandria via LeMat-Bulk
Functional: PBE
Structure: relaxed

Cell: 3.571 3.571 8.974 Å, 90.00 90.00 90.00°
Atoms (fractional coordinates):
Pm1 0.000 0.000 0.000
Sm1 0.500 0.500 0.316
Sm2 0.500 0.500 0.684
Ir1 0.000 0.000 0.500



The structure with the most favorable energy is a; the runner-up is 13.6 kJ/mol of atoms above it.



a | Compound: PmSm2Ir
Source: Alexandria via LeMat-Bulk
Functional: PBE
Structure: relaxed

Cell: 7.336 9.700 6.496 Å, 90.00 90.00 90.00°
Atoms (fractional coordinates):
Pm1 0.036 0.250 0.140
Pm2 0.464 0.750 0.640
Pm3 0.536 0.250 0.360
Pm4 0.964 0.750 0.860
Sm1 0.176 0.065 0.671
Sm2 0.176 0.435 0.671
Sm3 0.324 0.565 0.171
Sm4 0.324 0.935 0.171
Sm5 0.676 0.065 0.829
Sm6 0.676 0.435 0.829
Sm7 0.824 0.565 0.329
Sm8 0.824 0.935 0.329
Ir1 0.119 0.750 0.440
Ir2 0.381 0.250 0.940
Ir3 0.619 0.750 0.060
Ir4 0.881 0.250 0.560



b | Compound: PmSm2Ir
Source: Alexandria via LeMat-Bulk
Functional: PBE
Structure: relaxed

Cell: 9.427 9.427 9.427 Å, 24.68 24.68 24.68°
Atoms (fractional coordinates):
Pm1 0.000 0.000 0.000
Sm1 0.555 0.555 0.555
Sm2 0.774 0.774 0.774
Ir1 0.165 0.165 0.165



c | Compound: PmSm2Ir
Source: Alexandria via LeMat-Bulk
Functional: PBE
Structure: relaxed

Cell: 6.614 6.614 6.614 Å, 41.45 41.45 41.45°
Atoms (fractional coordinates):
Pm1 0.000 0.000 0.000
Sm1 0.224 0.224 0.224
Sm2 0.776 0.776 0.776
Ir1 0.500 0.500 0.500



The structure with the most favorable energy is a; the runner-up is 18.6 kJ/mol of atoms above it.



a | Compound: PmSm3Ir
Source: Alexandria via LeMat-Bulk
Functional: PBE
Structure: relaxed

Cell: 8.064 7.536 10.246 Å, 90.00 106.60 90.00°
Atoms (fractional coordinates):
Pm1 0.193 0.039 0.254
Pm2 0.193 0.461 0.754
Pm3 0.807 0.539 0.246
Pm4 0.807 0.961 0.746
Sm1 0.068 0.707 0.024
Sm2 0.068 0.793 0.524
Sm3 0.286 0.506 0.378
Sm4 0.286 0.994 0.878
Sm5 0.412 0.128 0.605
Sm6 0.412 0.372 0.105
Sm7 0.588 0.628 0.895
Sm8 0.588 0.872 0.395
Sm9 0.714 0.006 0.122
Sm10 0.714 0.494 0.622
Sm11 0.932 0.207 0.476
Sm12 0.932 0.293 0.976
Ir1 0.436 0.741 0.606
Ir2 0.436 0.759 0.106
Ir3 0.564 0.241 0.894
Ir4 0.564 0.259 0.394



b | Compound: PmSm3Ir
Source: Alexandria via LeMat-Bulk
Functional: PBE
Structure: relaxed

Cell: 5.562 5.562 5.562 Å, 90.00 90.00 90.00°
Atoms (fractional coordinates):
Pm1 0.000 0.000 0.000
Sm1 0.000 0.500 0.500
Sm2 0.500 0.000 0.500
Sm3 0.500 0.500 0.000
Ir1 0.500 0.500 0.500



The structure with the most favorable energy is a; the runner-up is 9.4 kJ/mol of atoms above it.



a | Compound: Pm2Sm2Ir3
Source: Alexandria via LeMat-Bulk
Functional: PBE
Structure: relaxed

Cell: 4.919 4.919 8.610 Å, 106.60 106.60 60.09°
Atoms (fractional coordinates):
Pm1 0.125 0.125 0.375
Pm2 0.875 0.875 0.625
Sm1 0.375 0.375 0.126
Sm2 0.625 0.625 0.874
Ir1 0.000 0.000 0.000
Ir2 0.250 0.250 0.749
Ir3 0.750 0.750 0.251



b | Compound: Pm2Sm2Ir3
Source: Alexandria via LeMat-Bulk
Functional: PBE
Structure: relaxed

Cell: 7.048 7.048 7.231 Å, 101.55 101.55 34.53°
Atoms (fractional coordinates):
Pm1 0.126 0.126 0.398
Pm2 0.874 0.874 0.602
Sm1 0.356 0.356 0.149
Sm2 0.644 0.644 0.851
Ir1 0.268 0.268 0.758
Ir2 0.500 0.500 0.500
Ir3 0.732 0.732 0.242



The structure with the most favorable energy is a; the runner-up is 12.6 kJ/mol of atoms above it.